(1)
NaH3Pd4 | PBE | optimized geometry

Summary:
total energy	-4.160	eV per atom
volume	11.49	Å³/atom

Cell lengths 4.789, 7.339, 5.676 Å; angles 102.22, 90.00, 109.04 degrees
Element x y z (fractional)
H 0.082 0.623 0.133
H 0.896 0.321 0.346
H 0.971 0.955 0.270
H 0.540 0.623 0.633
H 0.984 0.955 0.770
H 0.425 0.321 0.846
Na 0.492 0.977 0.740
Na 0.485 0.977 0.240
Pd 0.879 0.774 0.478
Pd 0.277 0.545 0.866
Pd 0.268 0.545 0.366
Pd 0.077 0.179 0.507
Pd 0.895 0.774 0.978
Pd 0.101 0.179 0.007
Pd 0.710 0.406 0.111
Pd 0.697 0.406 0.611

(2)
ScW2Se | PBE | optimized geometry

Summary:
total energy	-8.813	eV per atom
uncorrected formation energy	0.118	eV/atom
volume	17.50	Å³/atom

Cell lengths 5.699, 5.699, 5.699 Å; angles 146.54, 136.29, 56.14 degrees
Element x y z (fractional)
W 0.499 0.499 0.000
W 0.001 0.001 0.000
Se 0.250 0.750 0.500
Sc 0.750 0.250 0.500

(3)
Ir2Ru3Rh8 | PBE | optimized geometry

Summary:
total energy	-7.666	eV per atom
volume	15.18	Å³/atom

Cell lengths 4.785, 8.517, 6.695 Å; angles 129.50, 74.42, 90.00 degrees
Element x y z (fractional)
Ru 0.000 0.216 0.000
Ru 0.000 0.784 0.000
Ru 0.500 0.000 0.000
Ir 0.322 0.275 0.550
Ir 0.678 0.725 0.450
Rh 0.580 0.123 0.719
Rh 0.209 0.545 0.089
Rh 0.420 0.877 0.281
Rh 0.420 0.404 0.281
Rh 0.093 0.825 0.650
Rh 0.580 0.596 0.719
Rh 0.907 0.175 0.350
Rh 0.791 0.455 0.911

(4)
Ba5YO6 | PBE | optimized geometry

Summary:
total energy	-6.379	eV per atom
uncorrected formation energy	-2.560	eV/atom
volume	20.34	Å³/atom

Cell lengths 6.655, 6.693, 6.703 Å; angles 60.05, 80.46, 70.61 degrees
Element x y z (fractional)
O 0.220 0.926 0.711
O 0.228 0.215 0.000
O 0.772 0.785 0.000
O 0.220 0.637 0.289
O 0.780 0.363 0.711
O 0.780 0.074 0.289
Ba 0.500 0.500 0.000
Ba 0.500 0.165 0.671
Ba 0.000 0.333 0.335
Ba 0.000 0.667 0.665
Ba 0.500 0.835 0.329
Y 0.000 0.000 0.000

(5)
Gd2ZrCd | PBE | optimized geometry

Summary:
total energy	-9.414	eV per atom
volume	26.35	Å³/atom
energy above the lowest structure with this stoichiometry	105	meV per atom

Cell lengths 4.724, 4.724, 4.724 Å; angles 90.00, 90.00, 90.00 degrees
Last column: magnetic moment on the atom in μB.
Element x y z (fractional)
Cd 0.500 0.000 0.000  0.00
Gd 0.000 0.000 0.500  7.21
Gd 0.000 0.500 0.000  7.21
Zr 0.500 0.500 0.500  0.09

(6)
Pr2Ho9Er3 | PBE | optimized geometry

Summary:
total energy	-4.583	eV per atom
volume	31.52	Å³/atom

Cell lengths 6.145, 12.781, 13.752 Å; angles 41.19, 41.78, 43.86 degrees
Element x y z (fractional)
Ho 0.036 0.464 0.500
Ho 0.536 0.464 0.000
Ho 0.324 0.751 0.069
Ho 0.104 0.037 0.144
Ho 0.255 0.176 0.428
Ho 0.462 0.894 0.358
Ho 0.609 0.035 0.642
Ho 0.816 0.753 0.572
Ho 0.968 0.892 0.856
Pr 0.391 0.320 0.716
Pr 0.680 0.608 0.284
Er 0.177 0.608 0.786
Er 0.895 0.321 0.214
Er 0.747 0.178 0.931

(7)
CsY2Cl | PBE | optimized geometry

Summary:
total energy	-3.423	eV per atom
uncorrected formation energy	0.484	eV/atom
volume	32.64	Å³/atom

Cell lengths 5.694, 5.694, 5.694 Å; angles 60.00, 60.00, 60.00 degrees
Element x y z (fractional)
Cl 0.000 0.000 0.000
Cs 0.500 0.500 0.500
Y 0.250 0.250 0.250
Y 0.750 0.750 0.750

(8)
LiY6Fe2 | PBE | optimized geometry

Summary:
total energy	-6.404	eV per atom
volume	25.75	Å³/atom

Cell lengths 8.449, 8.449, 8.449 Å; angles 106.83, 111.09, 110.53 degrees
Last column: magnetic moment on the atom in μB.
Element x y z (fractional)
Fe 0.500 0.607 0.107  1.16
Fe 0.500 0.393 0.893  1.16
Fe 0.615 0.000 0.615  1.44
Fe 0.385 0.000 0.385  1.44
Y 0.207 0.779 0.986  -0.09
Y 0.793 0.779 0.571  -0.09
Y 0.303 0.994 0.692  -0.12
Y 0.793 0.221 0.014  -0.09
Y 0.697 0.006 0.308  -0.12
Y 0.474 0.288 0.186  -0.13
Y 0.697 0.389 0.692  -0.12
Y 0.207 0.221 0.429  -0.09
Y 0.898 0.712 0.186  -0.13
Y 0.102 0.288 0.814  -0.13
Y 0.526 0.712 0.814  -0.13
Y 0.303 0.611 0.308  -0.12
Li 0.000 0.000 0.000  0.00
Li 0.000 0.500 0.500  -0.02